No. 1
Nd8P3CS3: optimized geometry, PBE.

Cell: 8.1755 8.1751 8.1944 Å, 119.93 90.00 120.00°
Last column: nearest neighbours and their distance in Å.
Atoms (fractional coordinates):
Nd1 0.2312 0.0028 0.2744  1 C 2.64, 2 P 2.89, 2 S 2.92
S1 0.5000 0.5000 0.0000  6 Nd 2.92
P1 0.5000 0.5000 0.5000  6 Nd 2.86-2.89
Nd2 0.7716 0.0028 0.2744  1 C 2.64, 2 P 2.89, 2 S 2.92
Nd3 0.7688 0.9972 0.7256  1 C 2.64, 2 P 2.89, 2 S 2.92
C1 0.0000 0.0000 0.5000  6 Nd 2.64
S2 0.0000 0.0000 0.0000  6 Nd 2.92
Nd4 0.7474 0.4948 0.7422  3 P 2.86, 3 S 2.92
P2 0.5000 0.0000 0.5000  6 Nd 2.86-2.89
P3 0.0000 0.5000 0.5000  6 Nd 2.86-2.89
Nd5 0.2284 0.4568 0.7256  1 C 2.64, 2 P 2.89, 2 S 2.92
Nd6 0.2526 0.5052 0.2578  3 P 2.86, 3 S 2.92
Nd7 0.7716 0.5432 0.2744  1 C 2.64, 2 P 2.89, 2 S 2.92
S3 0.0000 0.5000 0.0000  6 Nd 2.92
Nd8 0.2284 0.9972 0.7256  1 C 2.64, 2 P 2.89, 2 S 2.92

Density ... 5.8 g cm⁻³
N(E_F) ... 6.28 states/eV/f.u.

No. 2
Nd4PCS2: optimized geometry, PBE.

Cell: 5.7188 5.7188 7.0094 Å, 114.08 114.08 90.00°
Last column: nearest neighbours and their distance in Å.
Atoms (fractional coordinates):
C1 0.7500 0.2500 0.5000  6 Nd 2.60-2.86
Nd1 0.7482 0.7482 0.4965  1 P 2.84, 3 S 2.86-2.88, 2 C 2.86
Nd2 0.5230 0.0230 0.0460  1 C 2.60, 2 S 2.87, 2 P 2.87
S1 0.2500 0.7500 0.5000  6 Nd 2.86-3.13
P1 0.5000 0.5000 0.0000  6 Nd 2.84-2.87
S2 0.0000 0.0000 0.0000  6 Nd 2.87-2.88
Nd3 0.9770 0.4770 0.9540  1 C 2.60, 2 P 2.87, 2 S 2.87
Nd4 0.2518 0.2518 0.5035  1 P 2.84, 2 C 2.86, 3 S 2.86-2.88

Density ... 6.1 g cm⁻³
N(E_F) ... 2.54 states/eV/f.u.

Record order is preserved below.
Total moment: 1.47; 0.00 μB/cell
Record order is preserved below.
ΔE_f (raw): -1.479; -1.425 eV/atom